Record 1
Here is a relaxed CuPt2 crystal from the Alexandria database. Energies are from GGA-PBE.

Computed properties:
ΔE_f	0.09	eV/atom
crystal system	orthorhombic
V	16.0	Å³/atom
SG	Imma (74)

Cell lengths 2.709, 3.739, 18.914 Å; angles 90.00, 90.00, 90.00 degrees
Atoms (fractional coordinates):
Pt 0.000 0.750 0.951
Pt 0.000 0.750 0.810
Pt 0.000 0.250 0.190
Pt 0.500 0.250 0.451
Pt 0.500 0.250 0.310
Pt 0.500 0.750 0.549
Pt 0.000 0.250 0.049
Pt 0.500 0.750 0.690
Cu 0.000 0.750 0.380
Cu 0.500 0.250 0.880
Cu 0.000 0.250 0.620
Cu 0.500 0.750 0.120



Record 2
Here is a relaxed Cu5Pt7 crystal from the Alexandria database. Energies are from GGA-PBE.

Computed properties:
ΔE_f	-0.07	eV/atom
energy above the most stable polymorph in this dataset	0.0609	eV per atom
crystal system	orthorhombic
V	14.3	Å³/atom
SG	Pmm2 (25)

Cell lengths 2.748, 16.287, 3.846 Å; angles 90.00, 90.00, 90.00 degrees
Atoms (fractional coordinates):
Cu 0.500 0.089 0.500
Cu 0.000 0.010 0.000
Cu 0.500 0.241 0.500
Cu 0.500 0.581 0.500
Cu 0.000 0.162 0.000
Pt 0.000 0.663 0.000
Pt 0.000 0.320 0.000
Pt 0.000 0.842 0.000
Pt 0.500 0.752 0.500
Pt 0.000 0.498 0.000
Pt 0.500 0.409 0.500
Pt 0.500 0.932 0.500



Record 3
Here is a relaxed Cu3Pt13 crystal from the Alexandria database. Energies are from GGA-PBE.

Computed properties:
ΔE_f	-0.07	eV/atom
crystal system	orthorhombic
V	15.1	Å³/atom
SG	Amm2 (38)

Cell lengths 5.592, 5.592, 7.732 Å; angles 90.00, 90.00, 90.10 degrees
Atoms (fractional coordinates):
Cu 0.997 0.003 0.751
Cu 0.997 0.003 0.249
Cu 0.755 0.245 0.000
Pt 0.501 0.000 0.753
Pt 0.750 0.749 0.500
Pt 0.505 0.495 0.756
Pt 0.244 0.756 0.000
Pt 0.000 0.499 0.247
Pt 0.505 0.495 0.244
Pt 0.251 0.250 0.500
Pt 0.000 0.499 0.753
Pt 0.755 0.245 0.500
Pt 0.244 0.756 0.500
Pt 0.243 0.248 0.000
Pt 0.752 0.757 0.000
Pt 0.501 0.000 0.247



Record 4
Here is a relaxed Cu5Pt2 crystal from the Alexandria database. Energies are from GGA-PBE.

Computed properties:
ΔE_f	-0.12	eV/atom
energy above the most stable polymorph in this dataset	0.0000	eV per atom
crystal system	monoclinic
V	13.1	Å³/atom
SG	C2/m (12)

Cell lengths 3.822, 5.860, 4.564 Å; angles 97.33, 114.75, 90.00 degrees
Atoms (fractional coordinates):
Cu 0.571 0.714 0.143
Cu 0.434 0.285 0.867
Cu 0.146 0.420 0.293
Cu 0.709 0.144 0.419
Cu 0.997 0.009 0.993
Pt 0.281 0.867 0.561
Pt 0.862 0.562 0.724



Record 5
Here is a relaxed CuPt2 crystal from the Alexandria database. Energies are from GGA-PBE.

Computed properties:
ΔE_f	-0.09	eV/atom
crystal system	monoclinic
V	14.6	Å³/atom
SG	C2 (5)

Cell lengths 6.144, 6.144, 4.743 Å; angles 97.34, 82.66, 95.54 degrees
Atoms (fractional coordinates):
Cu 0.085 0.583 0.752
Cu 0.583 0.085 0.248
Cu 0.332 0.332 0.000
Cu 0.000 0.000 0.000
Pt 0.247 0.748 0.247
Pt 0.836 0.836 0.500
Pt 0.412 0.923 0.756
Pt 0.923 0.412 0.244
Pt 0.496 0.496 0.500
Pt 0.669 0.669 0.000
Pt 0.169 0.169 0.500
Pt 0.748 0.247 0.753



Record 6
Here is a relaxed Cu7Pt5 crystal from the Alexandria database. Energies are from GGA-PBE.

Computed properties:
ΔE_f	-0.15	eV/atom
energy above the most stable polymorph in this dataset	0.0000	eV per atom
crystal system	orthorhombic
V	13.7	Å³/atom
SG	C222 (21)

Cell lengths 4.666, 8.072, 4.666 Å; angles 90.00, 110.23, 90.00 degrees
Atoms (fractional coordinates):
Cu 0.000 0.329 0.000
Cu 0.500 0.499 0.000
Cu 0.500 0.168 0.000
Cu 0.000 0.004 0.000
Cu 0.000 0.667 0.000
Cu 0.000 0.165 0.500
Cu 0.000 0.834 0.500
Pt 0.000 0.497 0.500
Pt 0.500 0.002 0.500
Pt 0.500 0.837 0.000
Pt 0.500 0.667 0.500
Pt 0.500 0.331 0.500



Record 7
Here is a relaxed CuPt2 crystal from the Alexandria database. Energies are from GGA-PBE.

Computed properties:
ΔE_f	-0.10	eV/atom
crystal system	monoclinic
V	14.6	Å³/atom
SG	Pm (6)

Cell lengths 3.876, 7.725, 6.157 Å; angles 108.21, 90.00, 90.00 degrees
Atoms (fractional coordinates):
Pt 0.000 0.841 0.328
Pt 0.000 0.492 0.995
Pt 0.000 0.321 0.328
Pt 0.000 0.170 0.669
Pt 0.000 0.667 0.670
Pt 0.500 0.757 0.001
Pt 0.500 0.577 0.334
Pt 0.500 0.926 0.673
Cu 0.500 0.087 0.331
Cu 0.500 0.412 0.667
Cu 0.500 0.246 0.002
Cu 0.000 0.006 0.002



Record 8
Here is a relaxed Cu4Pt3 crystal from the Alexandria database. Energies are from GGA-PBE.

Computed properties:
ΔE_f	-0.11	eV/atom
energy above the most stable polymorph in this dataset	0.0092	eV per atom
crystal system	orthorhombic
V	13.7	Å³/atom
SG	Imm2 (44)

Cell lengths 2.719, 9.759, 3.726 Å; angles 101.00, 90.00, 81.99 degrees
Atoms (fractional coordinates):
Pt 0.563 0.873 0.437
Pt 0.291 0.418 0.709
Pt 0.145 0.709 0.855
Cu 0.427 0.145 0.573
Cu 0.717 0.565 0.283
Cu 0.861 0.278 0.139
Cu 0.995 0.011 0.005



What did the sixth record say?
Here is a relaxed Cu7Pt5 crystal from the Alexandria database. Energies are from GGA-PBE.

Computed properties:
ΔE_f	-0.15	eV/atom
energy above the most stable polymorph in this dataset	0.0000	eV per atom
crystal system	orthorhombic
V	13.7	Å³/atom
SG	C222 (21)

Cell lengths 4.666, 8.072, 4.666 Å; angles 90.00, 110.23, 90.00 degrees
Atoms (fractional coordinates):
Cu 0.000 0.329 0.000
Cu 0.500 0.499 0.000
Cu 0.500 0.168 0.000
Cu 0.000 0.004 0.000
Cu 0.000 0.667 0.000
Cu 0.000 0.165 0.500
Cu 0.000 0.834 0.500
Pt 0.000 0.497 0.500
Pt 0.500 0.002 0.500
Pt 0.500 0.837 0.000
Pt 0.500 0.667 0.500
Pt 0.500 0.331 0.500